Entry 1:
Density functional theory data (PBE) for SrGeS3 after structural relaxation.

POSCAR file:
```
SrGeS3
1.0
5.9644 -4.5314 0.0000
5.9644 4.5314 0.0000
-0.2438 0.0000 4.6625
Sr Ge S
2 2 6
Cartesian
2.4769 0.0000 1.2002 Sr
9.2080 0.0000 3.4623 Sr
5.8425 1.5902 2.3312 Ge
5.8425 -1.5902 2.3312 Ge
4.3148 2.6723 1.2089 S
7.3702 2.6723 3.4536 S
4.5996 0.0000 3.4352 S
7.0854 0.0000 1.2273 S
4.3148 -2.6723 1.2089 S
7.3702 -2.6723 3.4536 S
```

Output
ρ (g/cm³): 3.4
Energy relative to the lowest polymorph listed for this composition (meV/atom): 0
Energy relative to the elements, uncorrected (kJ/mol of atoms): -100
Density of states at the Fermi level (states/eV/atom): 0.000
E (eV/atom): -4.7735



Entry 2:
Density functional theory data (PBE) for SrGe2S after structural relaxation.

POSCAR file:
```
SrGe2S
1.0
-4.2387 4.2387 2.8138
4.2387 -4.2387 2.8138
4.2387 4.2387 -2.8138
Sr Ge S
2 4 2
Cartesian
0.0000 0.0000 0.0000 Sr
0.0000 4.2387 1.4069 Sr
2.1194 -1.6671 2.1104 Ge
2.5716 2.1194 0.7035 Ge
2.1194 5.9059 -0.7035 Ge
1.6671 2.1194 3.5173 Ge
4.2387 0.0000 1.4069 S
0.0000 0.0000 2.8138 S
```

Output
ρ (g/cm³): 4.4
Energy relative to the elements, uncorrected (kJ/mol of atoms): -22
Density of states at the Fermi level (states/eV/atom): 0.686
E (eV/atom): -3.9925



Entry 3:
Density functional theory data (PBE) for Sr2GeS after structural relaxation.

POSCAR file:
```
Sr2GeS
1.0
0.0000 3.8057 3.8057
3.8057 0.0000 3.8057
3.8057 3.8057 0.0000
Sr Ge S
2 1 1
Cartesian
1.9029 1.9029 1.9029 Sr
5.7086 5.7086 5.7086 Sr
0.0000 0.0000 0.0000 Ge
3.8057 3.8057 3.8057 S
```

Output
ρ (g/cm³): 4.2
Energy relative to the lowest polymorph listed for this composition (meV/atom): 72
Energy relative to the elements, uncorrected (kJ/mol of atoms): -75
Density of states at the Fermi level (states/eV/atom): 1.359
E (eV/atom): -3.8058



Entry 4:
Density functional theory data (PBE) for Sr3GeS after structural relaxation.

POSCAR file:
```
Sr3GeS
1.0
5.6242 0.0000 0.0000
0.0000 5.6242 0.0000
0.0000 0.0000 5.6242
Sr Ge S
3 1 1
Cartesian
0.0000 0.0000 2.8121 Sr
0.0000 2.8121 0.0000 Sr
2.8121 0.0000 0.0000 Sr
2.8121 2.8121 2.8121 Ge
0.0000 0.0000 0.0000 S
```

Output
ρ (g/cm³): 3.4
Energy relative to the lowest polymorph listed for this composition (meV/atom): 0
Energy relative to the elements, uncorrected (kJ/mol of atoms): -86
Density of states at the Fermi level (states/eV/atom): 0.019
E (eV/atom): -3.6454



Entry 5:
Density functional theory data (PBE) for SrGe3S after structural relaxation.

POSCAR file:
```
SrGe3S
1.0
5.0500 0.0000 0.0000
0.0000 5.0500 0.0000
0.0000 0.0000 5.0500
Sr Ge S
1 3 1
Cartesian
0.0000 0.0000 0.0000 Sr
0.0000 2.5250 2.5250 Ge
2.5250 0.0000 2.5250 Ge
2.5250 2.5250 0.0000 Ge
2.5250 2.5250 2.5250 S
```

Output
ρ (g/cm³): 4.4
Energy relative to the lowest polymorph listed for this composition (meV/atom): 0
Energy relative to the elements, uncorrected (kJ/mol of atoms): 6
Density of states at the Fermi level (states/eV/atom): 0.374
E (eV/atom): -3.8686



Entry 6:
Density functional theory data (PBE) for SrGeS3 after structural relaxation.

POSCAR file:
```
SrGeS3
1.0
4.8125 0.0000 0.0000
0.0000 4.8125 0.0000
0.0000 0.0000 4.8125
Sr Ge S
1 1 3
Cartesian
0.0000 0.0000 0.0000 Sr
2.4062 2.4062 2.4062 Ge
0.0000 2.4062 2.4062 S
2.4062 0.0000 2.4062 S
2.4062 2.4062 0.0000 S
```

Output
ρ (g/cm³): 3.8
Energy relative to the lowest polymorph listed for this composition (meV/atom): 291
Energy relative to the elements, uncorrected (kJ/mol of atoms): -72
Density of states at the Fermi level (states/eV/atom): 0.470
E (eV/atom): -4.4826



Entry 7:
Density functional theory data (PBE) for SrGeS3 after structural relaxation.

POSCAR file:
```
SrGeS3
1.0
7.8245 0.0000 0.0000
0.0000 6.2502 0.0000
-3.9917 0.0000 10.9286
Sr Ge S
4 4 12
Cartesian
1.1010 1.3938 1.4144 Sr
-0.8949 1.7312 6.8787 Sr
4.7276 4.5189 4.0499 Sr
2.7318 4.8563 9.5142 Sr
3.1924 4.6467 0.1080 Ge
1.1965 4.7285 5.5723 Ge
2.6362 1.5216 5.3563 Ge
0.6404 1.6035 10.8206 Ge
1.0339 4.5432 0.6474 S
-0.9620 4.8321 6.1116 S
-1.1040 0.5429 9.7962 S
0.8919 2.5822 4.3319 S
0.0710 3.5258 9.2891 S
2.0668 5.8494 3.8248 S
1.7659 0.4008 7.1038 S
3.7618 2.7243 1.6395 S
2.9409 3.6680 6.5966 S
4.9367 5.7073 1.1323 S
4.7947 1.4181 4.8169 S
2.7989 1.7070 10.2812 S
```

Output
ρ (g/cm³): 3.2
Energy relative to the lowest polymorph listed for this composition (meV/atom): 41
Energy relative to the elements, uncorrected (kJ/mol of atoms): -96
Density of states at the Fermi level (states/eV/atom): 0.000
E (eV/atom): -4.7324



Entry 8:
Density functional theory data (PBE) for Sr2TiGeS after structural relaxation.

POSCAR file:
```
Sr2TiGeS
1.0
5.9815 0.0000 0.0000
0.0000 5.9815 0.0000
0.0000 0.0000 4.7195
Sr Ti Ge S
2 1 1 1
Cartesian
0.0000 2.9908 0.0000 Sr
2.9908 0.0000 0.0000 Sr
0.0000 0.0000 0.0000 Ti
0.0000 0.0000 2.3597 Ge
2.9908 2.9908 2.3597 S
```

Output
ρ (g/cm³): 3.2
Energy relative to the elements, uncorrected (kJ/mol of atoms): 16
Density of states at the Fermi level (states/eV/atom): 0.741
E (eV/atom): -3.8320



no.,total moment (μB/cell)
1,0.00
2,0.00
3,0.00
4,0.00
5,0.00
6,0.00
7,0.00
8,2.74